Run P
This record from Alexandria describes a relaxed TbUFe4 crystal. The functional is PBE-GGA.

abc: 7.179 7.179 7.179
angles: 90.00 90.00 90.00
Space group F-43m (No. 216)
One atom of each set of equivalent atoms:
1 Tb 0.000 0.000 0.000 x4
2 U 0.250 0.250 0.250 x4
3 Fe 0.125 0.125 0.625 x16

Run Q
This record from Alexandria describes a relaxed TbUFe4 crystal. The functional is PBE-GGA.

abc: 5.363 5.934 6.473
angles: 81.52 74.57 76.44
Space group P-1 (No. 2)
One atom of each set of equivalent atoms:
1 Tb 0.213 0.102 0.252 x2
2 U 0.331 0.450 0.818 x2
3 Fe 0.175 0.581 0.393 x2
4 Fe 0.205 0.762 0.983 x2
5 Fe 0.210 0.151 0.734 x2
6 Fe 0.410 0.790 0.562 x2

Quick one: most stable of them? run Q

Run P
This record from Alexandria describes a relaxed Tb2YFe crystal. The functional is PBE-GGA.

abc: 7.097 9.233 6.270
angles: 90.00 90.00 90.00
Space group Pnma (No. 62)
One atom of each set of equivalent atoms:
1 Tb 0.174 0.067 0.172 x8
2 Y 0.048 0.250 0.638 x4
3 Fe 0.109 0.750 0.959 x4

Run Q
This record from Alexandria describes a relaxed Tb2YFe crystal. The functional is PBE-GGA.

abc: 3.366 3.366 9.091
angles: 90.00 90.00 90.00
Space group P4/mmm (No. 123)
One atom of each set of equivalent atoms:
1 Tb 0.000 0.000 0.178 x2
2 Y 0.500 0.500 0.500 x1
3 Fe 0.500 0.500 0.000 x1

Run R
This record from Alexandria describes a relaxed Tb2YFe crystal. The functional is PBE-GGA.

abc: 3.5705 3.5705 29.3752
angles: 90.00 90.00 120.00
Space group R-3m (No. 166, hexagonal axes)
One atom of each set of equivalent atoms:
1 Tb 0.0000 0.0000 0.2292 x6
2 Y 0.0000 0.0000 0.0000 x3
3 Fe 0.0000 0.0000 0.5000 x3

Quick one: most stable of them? run P